Entry 1:
Below is a crystal of ErAlNi4 relaxed with PBEsol, with properties calculated at the meta-GGA SCAN level.

Cell: 4.9520 4.9520 3.8141 Å, 90.00 90.00 120.00°
Space group P-6m2 (No. 187)
Unique sites:
Er (0.0000, 0.0000, 0.0000) [1 per cell]
Al (0.6667, 0.3333, 0.0000) [1 per cell]
Ni (0.0045, 0.5022, 0.5000) [3 per cell]
Ni (0.3333, 0.6667, 0.0000) [1 per cell]

Summary:
E_tot (eV per atom): -20.951
Total moment (μB per formula unit): 0.0

Entry 2:
Below is a crystal of KCaTe2 relaxed with PBEsol, with properties calculated at the meta-GGA SCAN level.

Cell: 5.3571 5.3708 8.6663 Å, 90.00 90.00 90.00°
Space group Cmmm (No. 65)
Unique sites:
K (0.0000, 0.0000, 0.0000) [2 per cell]
Ca (0.0000, 0.0000, 0.5000) [2 per cell]
Te (0.0000, 0.5000, 0.2772) [4 per cell]

Summary:
E_form (uncorrected) (eV/atom): -1.1757
Total moment (μB per formula unit): 0.0

Entry 3:
Below is a crystal of In2TePb relaxed with PBEsol, with properties calculated at the meta-GGA SCAN level.

Cell: 4.2419 4.9364 5.4183 Å, 90.00 90.00 90.00°
Space group Pmmm (No. 47)
Unique sites:
In (0.0000, 0.0000, 0.0000) [1 per cell]
In (0.5000, 0.5000, 0.0000) [1 per cell]
Te (0.0000, 0.5000, 0.5000) [1 per cell]
Pb (0.5000, 0.0000, 0.5000) [1 per cell]

Summary:
E_form (uncorrected) (eV/atom): -0.0001
Total moment (μB per formula unit): 0.0
Relative energy among the computed polymorphs (meV per atom): 20

Entry 4:
Below is a crystal of ErGaCo relaxed with PBEsol, with properties calculated at the meta-GGA SCAN level.

Cell: 6.5433 3.9821 7.5472 Å, 90.00 90.00 90.00°
Space group Pnma (No. 62)
Unique sites:
Er (0.0287, 0.2500, 0.1824) [4 per cell]
Ga (0.1483, 0.2500, 0.5618) [4 per cell]
Co (0.2305, 0.7500, 0.3760) [4 per cell]

Summary:
E_tot (eV per atom): -28.474
Total moment (μB per formula unit): 0.0

Entry 5:
Below is a crystal of LiCu4P3O12 relaxed with PBEsol, with properties calculated at the meta-GGA SCAN level.

Cell: 7.2270 7.5873 9.5362 Å, 110.63 111.00 91.92°
Space group P-1 (No. 2)
Unique sites:
Li (0.1046, 0.3554, 0.0552) [2 per cell]
Cu (0.2202, 0.5714, 0.5520) [2 per cell]
Cu (0.2303, 0.9734, 0.5823) [2 per cell]
Cu (0.2451, 0.9562, 0.2252) [2 per cell]
Cu (0.4991, 0.7142, 0.0475) [2 per cell]
P (0.1015, 0.3668, 0.7529) [2 per cell]
P (0.1853, 0.9508, 0.8871) [2 per cell]
P (0.4940, 0.2643, 0.5817) [2 per cell]
O (0.0361, 0.5986, 0.1555) [2 per cell]
O (0.0440, 0.0975, 0.1648) [2 per cell]
O (0.0484, 0.4739, 0.6328) [2 per cell]
O (0.0693, 0.1507, 0.6492) [2 per cell]
O (0.2538, 0.8664, 0.7446) [2 per cell]
O (0.2724, 0.8460, 0.0076) [2 per cell]
O (0.2728, 0.1676, 0.9805) [2 per cell]
O (0.3039, 0.1047, 0.4563) [2 per cell]
O (0.3265, 0.4470, 0.8743) [2 per cell]
O (0.3473, 0.7528, 0.4960) [2 per cell]
O (0.4323, 0.7901, 0.2665) [2 per cell]
O (0.4549, 0.4673, 0.6300) [2 per cell]

Summary:
E_form (uncorrected) (eV/atom): -1.8336
Total moment (μB per formula unit): 4.0
Relative energy among the computed polymorphs (meV per atom): 11

Entry 6:
Below is a crystal of ReSb2Cl relaxed with PBEsol, with properties calculated at the meta-GGA SCAN level.

Cell: 3.3066 3.3084 16.1512 Å, 90.00 90.00 90.00°
Space group Imm2 (No. 44)
Unique sites:
Re (0.0000, 0.0000, 0.0000) [2 per cell]
Sb (0.0000, 0.0000, 0.5860) [2 per cell]
Sb (0.0000, 0.5000, 0.8708) [2 per cell]
Cl (0.0000, 0.5000, 0.2350) [2 per cell]

Summary:
E_form (uncorrected) (eV/atom): 0.2619
Total moment (μB per formula unit): 0.0

Entry 7:
Below is a crystal of InCo2Rh relaxed with PBEsol, with properties calculated at the meta-GGA SCAN level.

Cell: 5.1521 8.3839 2.7195 Å, 90.00 110.66 90.00°
Space group C2/m (No. 12)
Unique sites:
In (0.0000, 0.0000, 0.0000) [2 per cell]
Co (0.2500, 0.2500, 0.5000) [4 per cell]
Rh (0.0000, 0.5000, 0.0000) [2 per cell]

Summary:
E_tot (eV per atom): -25.328
Total moment (μB per formula unit): 4.2

Entry 8:
Below is a crystal of LiTc2Os relaxed with PBEsol, with properties calculated at the meta-GGA SCAN level.

Cell: 3.6819 3.6819 7.8007 Å, 90.00 90.00 90.00°
Space group I4/mmm (No. 139)
Unique sites:
Li (0.0000, 0.0000, 0.0000) [2 per cell]
Tc (0.0000, 0.5000, 0.2500) [4 per cell]
Os (0.0000, 0.0000, 0.5000) [2 per cell]

Summary:
E_tot (eV per atom): -35.829
Total moment (μB per formula unit): 0.0

Entry 9:
Below is a crystal of MnZnFe2 relaxed with PBEsol, with properties calculated at the meta-GGA SCAN level.

Cell: 2.4853 2.4853 7.1269 Å, 90.00 90.00 90.00°
Space group P4mm (No. 99)
Unique sites:
Mn (0.0000, 0.0000, 0.0000) [1 per cell]
Zn (0.5000, 0.5000, 0.2711) [1 per cell]
Fe (0.0000, 0.0000, 0.5374) [1 per cell]
Fe (0.5000, 0.5000, 0.7726) [1 per cell]

Summary:
E_tot (eV per atom): -16.919
Total moment (μB per formula unit): 3.0

Entry 10:
Below is a crystal of Zn8Os relaxed with PBEsol, with properties calculated at the meta-GGA SCAN level.

Cell: 8.2581 8.2581 3.6048 Å, 90.00 90.00 90.00°
Space group I4/mmm (No. 139)
Unique sites:
Zn (0.0000, 0.3322, 0.0000) [8 per cell]
Zn (0.1663, 0.1663, 0.5000) [8 per cell]
Os (0.0000, 0.0000, 0.0000) [2 per cell]

Summary:
E_tot (eV per atom): -19.930
Total moment (μB per formula unit): 0.3

Entry 11:
Below is a crystal of Bi3BRh relaxed with PBEsol, with properties calculated at the meta-GGA SCAN level.

Cell: 5.2043 5.2043 5.2043 Å, 90.00 90.00 90.00°
Space group Pm-3m (No. 221)
Unique sites:
Bi (0.0000, 0.0000, 0.5000) [3 per cell]
B (0.5000, 0.5000, 0.5000) [1 per cell]
Rh (0.0000, 0.0000, 0.0000) [1 per cell]

Summary:
Total moment (μB per formula unit): 0.0
Relative energy among the computed polymorphs (meV per atom): 153

Entry 12:
Below is a crystal of TaCrIn relaxed with PBEsol, with properties calculated at the meta-GGA SCAN level.

Cell: 4.4824 4.4824 2.8094 Å, 90.00 90.00 120.00°
Space group P3m1 (No. 156)
Unique sites:
Ta (0.0000, 0.0000, 0.0000) [1 per cell]
Cr (0.3333, 0.6667, 0.7551) [1 per cell]
In (0.6667, 0.3333, 0.4292) [1 per cell]

Summary:
E_tot (eV per atom): -39.191
Total moment (μB per formula unit): 0.0